Entry 1:
First-principles (GGA-PBE) data for an optimized crystal structure of GdHgSeO, as listed in OQMD.

Cell: 5.711 5.723 11.621 Å, 90.00 92.16 90.00°
Space group P2_1 (No. 4)
Asymmetric unit:
Gd 0.005 0.000 0.092
Gd 0.494 0.001 0.906
Hg 0.211 0.772 0.496
Hg 0.497 0.032 0.314
Se 0.180 0.334 0.277
Se 0.197 0.223 0.714
O 0.250 0.749 0.000
O 0.255 0.248 0.999

Output
E above lowest polymorph: 0.0 meV per atom
Magnetization: 0.0 μB per formula unit
Calculated total energy: -83.46 eV per cell

Entry 2:
First-principles (GGA-PBE) data for an optimized crystal structure of GdHgSeO, as listed in OQMD.

Cell: 8.159 7.331 6.895 Å, 90.00 91.12 90.00°
Space group P2_1/c (No. 14)
Asymmetric unit:
Gd 0.009 0.147 0.309
Hg 0.403 0.641 0.017
Se 0.229 0.573 0.549
O 0.089 0.129 0.610

Output
E above lowest polymorph: 91.0 meV per atom
Magnetization: 0.0 μB per formula unit
Calculated total energy: -82.00 eV per cell

Entry 3:
First-principles (GGA-PBE) data for an optimized crystal structure of GdHgTeO, as listed in OQMD.

Cell: 4.141 4.141 10.602 Å, 90.00 90.00 90.00°
Space group P4/nmm (No. 129, origin choice 2)
Asymmetric unit:
Gd 0.250 0.250 0.097
Hg 0.250 0.750 0.500
Te 0.250 0.250 0.737
O 0.250 0.750 0.000

Output
E above lowest polymorph: 0.0 meV per atom
Magnetization: 0.0 μB per formula unit
Calculated total energy: -39.30 eV per cell